No. 1
KNbCdIn2: relaxed, PBEsol.

POSCAR file:
```
KNbCdIn2
1.0
5.392 0.000 0.000
0.000 5.392 0.000
0.000 0.000 5.502
K Nb Cd In
1 1 1 2
Direct
0.000 0.000 0.000
0.500 0.500 0.500
0.500 0.500 0.000
0.000 0.500 0.500
0.500 0.000 0.500
```

Properties
As for the symmetry: P4/mmm, No. 123. The calculated density comes out at 4.92 g/cm³. For the calculated total energy, the calculation gives -16.98 eV for the cell shown.

=====

No. 2
KCdIn2Re: relaxed, PBEsol.

POSCAR file:
```
KCdIn2Re
1.0
5.186 0.000 0.000
0.000 5.186 0.000
0.000 0.000 5.299
K Cd In Re
1 1 2 1
Direct
0.000 0.000 0.000
0.500 0.500 0.000
0.000 0.500 0.500
0.500 0.000 0.500
0.500 0.500 0.500
```

Properties
As for the symmetry: P4/mmm, No. 123. The calculated density comes out at 6.61 g/cm³. For the calculated total energy, the calculation gives -19.89 eV for the cell shown.